No. 1
! ScTl6Se4, optimized geometry, DFT PBE; values from VASP
&SYSTEM
  ibrav = 0, nat = 22, ntyp = 3
/
ATOMIC_SPECIES
Sc 44.96 Sc.upf
Tl 204.38 Tl.upf
Se 78.96 Se.upf
CELL_PARAMETERS angstrom
-3.541 -6.389 1.611
3.035 -4.016 -9.254
6.077 -1.220 8.518
ATOMIC_POSITIONS crystal
Sc 0.728 0.333 0.667
Sc 0.228 0.667 0.333
Tl 0.468 0.748 0.874
Tl 0.468 0.126 0.252
Tl 0.468 0.126 0.874
Tl 0.968 0.252 0.126
Tl 0.968 0.874 0.748
Tl 0.968 0.874 0.126
Tl 0.633 0.942 0.471
Tl 0.633 0.529 0.058
Tl 0.633 0.529 0.471
Tl 0.133 0.058 0.529
Tl 0.133 0.471 0.942
Tl 0.133 0.471 0.529
Se 0.386 0.333 0.667
Se 0.886 0.667 0.333
Se 0.858 0.597 0.799
Se 0.858 0.201 0.403
Se 0.858 0.201 0.799
Se 0.358 0.403 0.201
Se 0.358 0.799 0.597
Se 0.358 0.799 0.201
! Energy, eV/atom: -3.705
! Space-group type: P6_3mc
! DOS(E_F), states/eV per atom: 0.412
! Size of the total moment, μB/atom: 0.00
! ρ, g/cm3: 7.3

=====

No. 2
! ScTlSe, optimized geometry, DFT PBE; values from VASP
&SYSTEM
  ibrav = 0, nat = 3, ntyp = 3
/
ATOMIC_SPECIES
Sc 44.96 Sc.upf
Se 78.96 Se.upf
Tl 204.38 Tl.upf
CELL_PARAMETERS angstrom
6.552 0.004 -0.004
5.574 3.443 -0.004
0.978 0.277 3.428
ATOMIC_POSITIONS crystal
Sc 0.969 0.969 0.031
Se 0.387 0.387 0.613
Tl 0.644 0.644 0.356
! Energy, eV/atom: -4.877
! Space-group type: I4mm
! DOS(E_F), states/eV per atom: 0.638
! Size of the total moment, μB/atom: 0.00
! ρ, g/cm3: 7.1

=====

No. 3
! ScTlSe, optimized geometry, DFT PBE; values from VASP
&SYSTEM
  ibrav = 0, nat = 3, ntyp = 3
/
ATOMIC_SPECIES
Sc 44.96 Sc.upf
Se 78.96 Se.upf
Tl 204.38 Tl.upf
CELL_PARAMETERS angstrom
-0.510 -0.276 3.766
-2.977 -0.330 -2.355
0.965 -6.320 -0.333
ATOMIC_POSITIONS crystal
Sc 0.000 0.000 0.043
Se 0.667 0.333 0.263
Tl 0.333 0.667 0.694
! Energy, eV/atom: -4.753
! Space-group type: P3m1
! DOS(E_F), states/eV per atom: 0.910
! Size of the total moment, μB/atom: 0.00
! ρ, g/cm3: 6.8

=====

No. 4
! ScTl3Se, optimized geometry, DFT PBE; values from VASP
&SYSTEM
  ibrav = 0, nat = 5, ntyp = 3
/
ATOMIC_SPECIES
Sc 44.96 Sc.upf
Tl 204.38 Tl.upf
Se 78.96 Se.upf
CELL_PARAMETERS angstrom
-5.446 -0.770 1.308
-0.311 -4.203 -3.768
1.485 -3.701 4.007
ATOMIC_POSITIONS crystal
Sc 0.500 0.500 0.500
Tl 0.000 0.500 0.000
Tl 0.000 0.000 0.500
Tl 0.500 0.000 0.000
Se 0.000 0.000 0.000
! Energy, eV/atom: -2.891
! Space-group type: Pm-3m
! DOS(E_F), states/eV per atom: 1.297
! Size of the total moment, μB/atom: 0.15
! ρ, g/cm3: 6.8

=====

No. 5
! ScTl4Se, optimized geometry, DFT PBE; values from VASP
&SYSTEM
  ibrav = 0, nat = 6, ntyp = 3
/
ATOMIC_SPECIES
Sc 44.96 Sc.upf
Tl 204.38 Tl.upf
Se 78.96 Se.upf
CELL_PARAMETERS angstrom
0.000 4.411 4.411
4.411 0.000 4.411
4.411 4.411 0.000
ATOMIC_POSITIONS crystal
Sc 0.750 0.750 0.750
Tl 0.875 0.375 0.375
Tl 0.375 0.375 0.875
Tl 0.375 0.875 0.375
Tl 0.375 0.375 0.375
Se 0.000 0.000 0.000
! Energy, eV/atom: -3.010
! Space-group type: F-43m
! DOS(E_F), states/eV per atom: 1.107
! Size of the total moment, μB/atom: 0.14
! ρ, g/cm3: 9.1

=====

No. 6
! Sc6Tl2Se, optimized geometry, DFT PBE; values from VASP
&SYSTEM
  ibrav = 0, nat = 9, ntyp = 3
/
ATOMIC_SPECIES
Sc 44.96 Sc.upf
Tl 204.38 Tl.upf
Se 78.96 Se.upf
CELL_PARAMETERS angstrom
3.623 0.000 0.000
0.000 7.305 -3.364
0.000 -0.739 8.008
ATOMIC_POSITIONS crystal
Sc 0.500 0.615 0.000
Sc 0.500 0.385 0.385
Sc 0.500 0.000 0.615
Sc 0.000 0.261 0.000
Sc 0.000 0.739 0.739
Sc 0.000 0.000 0.261
Tl 0.000 0.333 0.667
Tl 0.000 0.667 0.333
Se 0.500 0.000 0.000
! Energy, eV/atom: -5.640
! Space-group type: P-62m
! DOS(E_F), states/eV per atom: 1.334
! Size of the total moment, μB/atom: 0.04
! ρ, g/cm3: 6.2

=====

No. 7
! Sc2TlSe, optimized geometry, DFT PBE; values from VASP
&SYSTEM
  ibrav = 0, nat = 4, ntyp = 3
/
ATOMIC_SPECIES
Sc 44.96 Sc.upf
Se 78.96 Se.upf
Tl 204.38 Tl.upf
CELL_PARAMETERS angstrom
-2.789 3.708 -2.147
-4.656 1.075 1.817
-0.814 4.373 2.521
ATOMIC_POSITIONS crystal
Sc 0.000 0.000 0.000
Sc 0.250 0.250 0.250
Se 0.500 0.500 0.500
Tl 0.750 0.750 0.750
! Energy, eV/atom: -4.622
! Space-group type: F-43m
! DOS(E_F), states/eV per atom: 1.763
! Size of the total moment, μB/atom: 0.60
! ρ, g/cm3: 6.6

=====

No. 8
! Sc2TlSe, optimized geometry, DFT PBE; values from VASP
&SYSTEM
  ibrav = 0, nat = 4, ntyp = 3
/
ATOMIC_SPECIES
Sc 44.96 Sc.upf
Tl 204.38 Tl.upf
Se 78.96 Se.upf
CELL_PARAMETERS angstrom
3.700 0.000 0.000
1.850 3.204 0.000
1.850 1.068 7.695
ATOMIC_POSITIONS crystal
Sc 0.237 0.237 0.289
Sc 0.763 0.763 0.711
Tl 0.000 0.000 0.000
Se 0.500 0.500 0.500
! Energy, eV/atom: -5.573
! Space-group type: R-3m
! DOS(E_F), states/eV per atom: 0.414
! Size of the total moment, μB/atom: 0.00
! ρ, g/cm3: 6.8

=====

No. 9
! ScTl3Se, optimized geometry, DFT PBE; values from VASP
&SYSTEM
  ibrav = 0, nat = 5, ntyp = 3
/
ATOMIC_SPECIES
Sc 44.96 Sc.upf
Tl 204.38 Tl.upf
Se 78.96 Se.upf
CELL_PARAMETERS angstrom
5.689 0.000 0.000
0.000 5.689 0.000
0.000 0.000 5.689
ATOMIC_POSITIONS crystal
Sc 0.000 0.000 0.000
Tl 0.000 0.500 0.000
Tl 0.000 0.000 0.500
Tl 0.500 0.000 0.000
Se 0.500 0.500 0.500
! Energy, eV/atom: -2.956
! Space-group type: Pm-3m
! DOS(E_F), states/eV per atom: 1.071
! Size of the total moment, μB/atom: 0.33
! ρ, g/cm3: 6.6

=====

No. 10
! ScTl3Se3, optimized geometry, DFT PBE; values from VASP
&SYSTEM
  ibrav = 0, nat = 14, ntyp = 3
/
ATOMIC_SPECIES
Sc 44.96 Sc.upf
Tl 204.38 Tl.upf
Se 78.96 Se.upf
CELL_PARAMETERS angstrom
-3.704 -1.471 -0.854
2.720 -2.110 -8.158
3.493 -10.875 3.588
ATOMIC_POSITIONS crystal
Sc 0.250 0.888 0.384
Sc 0.750 0.112 0.616
Tl 0.250 0.384 0.360
Tl 0.750 0.616 0.640
Tl 0.250 0.849 0.877
Tl 0.750 0.151 0.123
Tl 0.250 0.346 0.861
Tl 0.750 0.654 0.139
Se 0.250 0.324 0.610
Se 0.750 0.676 0.390
Se 0.250 0.902 0.612
Se 0.750 0.098 0.388
Se 0.250 0.903 0.155
Se 0.750 0.097 0.845
! Energy, eV/atom: -4.290
! Space-group type: P2_1/m
! DOS(E_F), states/eV per atom: 0.001
! Size of the total moment, μB/atom: 0.00
! ρ, g/cm3: 6.9

=====

No. 11
! ScTlSe2, optimized geometry, DFT PBE; values from VASP
&SYSTEM
  ibrav = 0, nat = 4, ntyp = 3
/
ATOMIC_SPECIES
Sc 44.96 Sc.upf
Se 78.96 Se.upf
Tl 204.38 Tl.upf
CELL_PARAMETERS angstrom
8.707 0.046 0.028
7.755 3.959 0.028
7.755 1.887 3.481
ATOMIC_POSITIONS crystal
Sc 0.745 0.745 0.745
Se 0.031 0.031 0.031
Se 0.225 0.225 0.225
Tl 0.499 0.499 0.499
! Energy, eV/atom: -4.664
! Space-group type: R3m
! Size of the total moment, μB/atom: 0.00
! ρ, g/cm3: 5.7

=====

No. 12
! ScTlSe, optimized geometry, DFT PBE; values from VASP
&SYSTEM
  ibrav = 0, nat = 3, ntyp = 3
/
ATOMIC_SPECIES
Sc 44.96 Sc.upf
Se 78.96 Se.upf
Tl 204.38 Tl.upf
CELL_PARAMETERS angstrom
4.836 0.000 0.000
2.418 4.188 0.000
2.418 1.396 3.949
ATOMIC_POSITIONS crystal
Sc 0.750 0.750 0.750
Se 0.000 0.000 0.000
Tl 0.500 0.500 0.500
! Energy, eV/atom: -4.384
! Space-group type: F-43m
! DOS(E_F), states/eV per atom: 1.515
! Size of the total moment, μB/atom: 0.00
! ρ, g/cm3: 6.8

=====

Question: Among the records above, which one has the highest energy?
Answer: number 4

=====

Question: Look up the ρ of the eighth one.
Answer: 6.8 g/cm3

=====

Question: Which of these has the highest size of the total moment?
Answer: number 7